1.
# meta-GGA SCAN ReTcBr4, single point on PBEsol structure
# Formation energy (no corrections) = 2.103 eV/atom
# Fermi-level density of states = 21.67 states/eV per cell
data_ReTcBr4
_chemical_formula_sum 'Re4 Tc4 Br16'
_space_group_name_H-M_alt 'F -4 3 m'
_space_group_IT_number 216
_space_group_name_Hall 'F -4 2 3'
_cell_length_a 8.380
_cell_length_b 8.380
_cell_length_c 8.380
_cell_angle_alpha 90.00
_cell_angle_beta 90.00
_cell_angle_gamma 90.00
loop_
_atom_site_label
_atom_site_type_symbol
_atom_site_fract_x
_atom_site_fract_y
_atom_site_fract_z
_atom_site_occupancy
Re1 Re 0.000 0.000 0.000 1
Tc1 Tc 0.250 0.250 0.750 1
Br1 Br 0.125 0.125 0.375 1

2.
# meta-GGA SCAN Li2TlHg, single point on PBEsol structure
# Total energy = -2.698 Ry/atom
# Fermi-level density of states = 5.36 states/eV per cell
data_Li2TlHg
_chemical_formula_sum 'Li8 Tl4 Hg4'
_space_group_name_H-M_alt 'F m -3 m'
_space_group_IT_number 225
_space_group_name_Hall '-F 4 2 3'
_cell_length_a 6.659
_cell_length_b 6.659
_cell_length_c 6.659
_cell_angle_alpha 90.00
_cell_angle_beta 90.00
_cell_angle_gamma 90.00
loop_
_atom_site_label
_atom_site_type_symbol
_atom_site_fract_x
_atom_site_fract_y
_atom_site_fract_z
_atom_site_occupancy
Li1 Li 0.250 0.250 0.250 1
Tl1 Tl 0.000 0.000 0.000 1
Hg1 Hg 0.000 0.000 0.500 1

3.
# meta-GGA SCAN ZrAlBr2, single point on PBEsol structure
# Formation energy (no corrections) = -0.346 eV/atom
# Polymorph energy (0 for the lowest one) = 257.1 meV per atom
# Fermi-level density of states = 4.25 states/eV per cell
data_ZrAlBr2
_chemical_formula_sum 'Zr2 Al2 Br4'
_space_group_name_H-M_alt 'I m m 2'
_space_group_IT_number 44
_space_group_name_Hall 'I 2 -2'
_cell_length_a 3.291
_cell_length_b 4.792
_cell_length_c 11.688
_cell_angle_alpha 90.00
_cell_angle_beta 90.00
_cell_angle_gamma 90.00
loop_
_atom_site_label
_atom_site_type_symbol
_atom_site_fract_x
_atom_site_fract_y
_atom_site_fract_z
_atom_site_occupancy
Zr1 Zr 0.000 0.000 0.000 1
Al1 Al 0.000 0.500 0.297 1
Br1 Br 0.000 0.000 0.465 1
Br2 Br 0.000 0.500 0.684 1

4.
# meta-GGA SCAN LaYIn4, single point on PBEsol structure
# Total energy = -2.547 Ry/atom
# Fermi-level density of states = 14.20 states/eV per cell
data_LaYIn4
_chemical_formula_sum 'La4 Y4 In16'
_space_group_name_H-M_alt 'F -4 3 m'
_space_group_IT_number 216
_space_group_name_Hall 'F -4 2 3'
_cell_length_a 8.460
_cell_length_b 8.460
_cell_length_c 8.460
_cell_angle_alpha 90.00
_cell_angle_beta 90.00
_cell_angle_gamma 90.00
loop_
_atom_site_label
_atom_site_type_symbol
_atom_site_fract_x
_atom_site_fract_y
_atom_site_fract_z
_atom_site_occupancy
La1 La 0.000 0.000 0.000 1
Y1 Y 0.250 0.250 0.750 1
In1 In 0.125 0.125 0.375 1

| no. | ρ (g/cm3) |
| --- | --- |
| 1 | 6.82 |
| 2 | 9.42 |
| 3 | 5.01 |
| 4 | 7.54 |